# PBE-GGA AgPdNO2, optimized geometry
data_AgPdNO2
_space_group_name_H-M_alt 'P 1'
_space_group_IT_number 1
_cell_length_a 4.1247
_cell_length_b 4.1247
_cell_length_c 4.0065
_cell_angle_alpha 90.00
_cell_angle_beta 90.00
_cell_angle_gamma 90.00
loop_
_space_group_symop_operation_xyz
'x,y,z'
loop_
_atom_site_label
_atom_site_type_symbol
_atom_site_fract_x
_atom_site_fract_y
_atom_site_fract_z
_atom_site_occupancy
Ag1 Ag 0.0000 0.0000 0.0000 1
Pd1 Pd 0.5000 0.5000 0.5000 1
N1 N 0.0000 0.0000 0.5000 1
O1 O 0.0000 0.5000 0.0000 1
O2 O 0.5000 0.0000 0.0000 1
# ΔE_f (raw), eV/atom: 1.39